5
Lattice="4.364 0.000 0.000 0.000 4.364 0.000 0.000 0.000 4.364" Properties=species:S:1:pos:R:3 comment="Hf3OsN PBE-GGA relaxed" spacegroup=Pm-3m magmom_total_mub_per_fu=0.0 e_form_raw_ev_per_atom=-0.805 energy_ev_per_cell=-53.4 pbc="T T T"
N 0.000 0.000 0.000
Hf 2.182 0.000 0.000
Hf 0.000 2.182 0.000
Hf 0.000 0.000 2.182
Os 2.182 2.182 2.182

***

5
Lattice="4.114 0.000 0.000 0.000 4.114 0.000 0.000 0.000 4.114" Properties=species:S:1:pos:R:3 comment="HfOs3N PBE-GGA relaxed" spacegroup=Pm-3m magmom_total_mub_per_fu=0.0 e_above_lowest_polymorph_ev_per_atom=0.000 e_form_raw_ev_per_atom=0.106 energy_ev_per_cell=-51.4 pbc="T T T"
N 0.000 0.000 0.000
Os 2.057 0.000 0.000
Os 0.000 2.057 0.000
Os 0.000 0.000 2.057
Hf 2.057 2.057 2.057

***

20
Lattice="5.776 0.000 0.238 0.000 7.085 0.000 0.410 0.000 8.983" Properties=species:S:1:pos:R:3 comment="Hf6Os3N PBE-GGA relaxed" spacegroup=P2_1/c magmom_total_mub_per_fu=0.0 e_form_raw_ev_per_atom=-0.533 energy_ev_per_cell=-214.1 pbc="T T T"
Os 5.600 2.787 7.089
Os 2.888 3.542 0.119
Os 0.586 4.298 2.133
Os 0.205 0.000 4.492
Os 3.680 6.329 6.743
Os 2.507 0.756 2.478
Hf 5.006 4.586 5.142
Hf 2.290 3.913 6.722
Hf 1.912 6.040 0.531
Hf 5.380 5.012 8.605
Hf 4.274 1.044 8.691
Hf 0.806 2.072 0.616
Hf 1.214 0.371 6.872
Hf 3.897 3.171 2.500
Hf 1.181 2.498 4.080
Hf 2.287 5.615 3.995
Hf 4.973 6.714 2.349
Hf 3.899 1.470 5.227
N 0.000 0.000 0.000
N 3.093 3.542 4.611

***

Copy entry 3 word for word.
20
Lattice="5.776 0.000 0.238 0.000 7.085 0.000 0.410 0.000 8.983" Properties=species:S:1:pos:R:3 comment="Hf6Os3N PBE-GGA relaxed" spacegroup=P2_1/c magmom_total_mub_per_fu=0.0 e_form_raw_ev_per_atom=-0.533 energy_ev_per_cell=-214.1 pbc="T T T"
Os 5.600 2.787 7.089
Os 2.888 3.542 0.119
Os 0.586 4.298 2.133
Os 0.205 0.000 4.492
Os 3.680 6.329 6.743
Os 2.507 0.756 2.478
Hf 5.006 4.586 5.142
Hf 2.290 3.913 6.722
Hf 1.912 6.040 0.531
Hf 5.380 5.012 8.605
Hf 4.274 1.044 8.691
Hf 0.806 2.072 0.616
Hf 1.214 0.371 6.872
Hf 3.897 3.171 2.500
Hf 1.181 2.498 4.080
Hf 2.287 5.615 3.995
Hf 4.973 6.714 2.349
Hf 3.899 1.470 5.227
N 0.000 0.000 0.000
N 3.093 3.542 4.611

***

> What is the formula in the second record?

HfOs3N